Record 1
First-principles (PBE) data for an optimized crystal structure of InReIr2, as listed in Alexandria via LeMat-Bulk.

The structure in POSCAR format:
```
InReIr2
1.0
4.8231 0.0141 -0.0172
1.4206 4.6092 0.0172
-3.1116 -2.3255 2.8617
Ir In Re
2 1 1
direct
0.5000 0.5000 0.0000 Ir
0.0000 0.0000 0.0000 Ir
0.2500 0.7500 0.5000 In
0.7500 0.2500 0.5000 Re
```

Output
Total magnetization ... 0.280 μB/atom
Final energy ... -32.12 eV per cell
Excess energy over the best structure of this formula in the dataset ... 299.8 meV per atom
SG ... I4/mmm

---

Record 2
First-principles (PBE) data for an optimized crystal structure of InRe2Ir, as listed in Alexandria via LeMat-Bulk.

The structure in POSCAR format:
```
InRe2Ir
1.0
4.8604 -0.0216 0.0000
1.5451 4.6083 0.0000
-3.2027 -2.2933 2.8472
Ir Re In
1 2 1
direct
0.7500 0.2500 0.5000 Ir
0.2500 0.7500 0.5000 Re
0.0000 0.0000 0.0000 Re
0.5000 0.5000 0.0000 In
```

Output
Total magnetization ... 0.001 μB/atom
Final energy ... -34.90 eV per cell
Excess energy over the best structure of this formula in the dataset ... 268.4 meV per atom
SG ... I-4m2

---

Record 3
First-principles (PBE) data for an optimized crystal structure of InRe2Ir, as listed in Alexandria via LeMat-Bulk.

The structure in POSCAR format:
```
InRe2Ir
1.0
-0.7770 -4.1811 -2.1891
3.7661 0.7877 -2.8413
1.6810 -1.2916 1.8701
Re In Ir
2 1 1
direct
0.5000 0.5000 0.0000 Re
0.0000 0.0000 0.0000 Re
0.5000 0.0000 0.5000 In
0.0000 0.5000 0.5000 Ir
```

Output
Total magnetization ... 0.000 μB/atom
Final energy ... -33.96 eV per cell
Excess energy over the best structure of this formula in the dataset ... 505.0 meV per atom
SG ... P4/mmm

---

Record 4
First-principles (PBE) data for an optimized crystal structure of InReIr2, as listed in Alexandria via LeMat-Bulk.

The structure in POSCAR format:
```
InReIr2
1.0
2.8468 0.0000 0.0000
0.0000 2.8468 0.0000
0.0000 0.0000 7.8551
In Re Ir
1 1 2
direct
0.5000 0.5000 0.7500 In
0.5000 0.5000 0.2500 Re
0.0000 0.0000 0.0206 Ir
0.0000 0.0000 0.4794 Ir
```

Output
Total magnetization ... 0.000 μB/atom
Final energy ... -33.32 eV per cell
Excess energy over the best structure of this formula in the dataset ... 0.0 meV per atom
SG ... P4/mmm